No. 1
First-principles (PBE) data for KSrPd4 after structural relaxation, as listed in Alexandria via LeMat-Bulk.

abc: 5.596 5.596 5.596
angles: 60.00 60.00 60.00
Fractional coordinates of all 6 atoms:
K1 0.000 0.000 0.000
Sr1 0.250 0.250 0.250
Pd1 0.125 0.625 0.625
Pd2 0.625 0.125 0.625
Pd3 0.625 0.625 0.125
Pd4 0.625 0.625 0.625

Results
electronic total energy	-25.77	eV per cell
E_form	-0.371	eV/atom
density of states at the Fermi level	5.29	states/eV/cell

***

No. 2
First-principles (PBE) data for KSr2Pd2 after structural relaxation, as listed in Alexandria via LeMat-Bulk.

abc: 7.297 7.297 7.297
angles: 134.69 134.69 66.01
Fractional coordinates of all 5 atoms:
K1 0.000 0.000 0.000
Sr1 0.327 0.327 0.000
Sr2 0.673 0.673 0.000
Pd1 0.250 0.750 0.500
Pd2 0.750 0.250 0.500

Results
electronic total energy	-15.66	eV per cell
E_form	-0.163	eV/atom
density of states at the Fermi level	2.34	states/eV/cell

***

No. 3
First-principles (PBE) data for KSr3Pd after structural relaxation, as listed in Alexandria via LeMat-Bulk.

abc: 4.309 11.837 11.837
angles: 41.01 90.00 90.00
Fractional coordinates of all 5 atoms:
K1 0.000 0.000 0.000
Sr1 0.000 0.432 0.924
Sr2 0.000 0.924 0.432
Sr3 0.500 0.819 0.819
Pd1 0.500 0.688 0.688

Results
excess energy over the best structure of this formula in the dataset	338	meV per atom
electronic total energy	-10.96	eV per cell
E_form	0.076	eV/atom
density of states at the Fermi level	4.67	states/eV/cell